1.
DFT (PBE) results for a relaxed structure of VCd3Bi.

```
data_VCd3Bi
_cell_length_a 5.760
_cell_length_b 5.760
_cell_length_c 5.760
_cell_angle_alpha 90.00
_cell_angle_beta 90.00
_cell_angle_gamma 90.00
_symmetry_space_group_name_H-M 'P 1'
_symmetry_Int_Tables_number 1
loop_
_symmetry_equiv_pos_as_xyz
'x,y,z'
loop_
_atom_site_label
_atom_site_fract_x
_atom_site_fract_y
_atom_site_fract_z
V1 0.000 0.000 0.000
Cd1 0.000 0.500 0.500
Cd2 0.500 0.000 0.500
Cd3 0.500 0.500 0.000
Bi1 0.500 0.500 0.500
```

Values from the calculation:
ΔE_f ... 1.1093 eV/atom
M_tot ... 4.01 μB/f.u.
Polymorph energy (0 for the lowest one) ... 0.3496 eV per atom
Space-group type ... No. 221


2.
DFT (PBE) results for a relaxed structure of VCdBi2.

```
data_VCdBi2
_cell_length_a 8.002
_cell_length_b 8.002
_cell_length_c 8.002
_cell_angle_alpha 131.80
_cell_angle_beta 131.80
_cell_angle_gamma 70.55
_symmetry_space_group_name_H-M 'P 1'
_symmetry_Int_Tables_number 1
loop_
_symmetry_equiv_pos_as_xyz
'x,y,z'
loop_
_atom_site_label
_atom_site_fract_x
_atom_site_fract_y
_atom_site_fract_z
V1 0.000 0.000 0.000
V2 0.750 0.250 0.500
Cd1 0.250 0.750 0.500
Cd2 0.500 0.500 0.000
Bi1 0.084 0.625 0.959
Bi2 0.375 0.334 0.459
Bi3 0.666 0.125 0.041
Bi4 0.875 0.916 0.541
```

Values from the calculation:
ΔE_f ... 0.5333 eV/atom
M_tot ... 0.98 μB/f.u.
Space-group type ... No. 122


3.
DFT (PBE) results for a relaxed structure of VCdBi3.

```
data_VCdBi3
_cell_length_a 5.316
_cell_length_b 5.316
_cell_length_c 5.316
_cell_angle_alpha 90.00
_cell_angle_beta 90.00
_cell_angle_gamma 90.00
_symmetry_space_group_name_H-M 'P 1'
_symmetry_Int_Tables_number 1
loop_
_symmetry_equiv_pos_as_xyz
'x,y,z'
loop_
_atom_site_label
_atom_site_fract_x
_atom_site_fract_y
_atom_site_fract_z
V1 0.000 0.000 0.000
Cd1 0.500 0.500 0.500
Bi1 0.000 0.000 0.500
Bi2 0.000 0.500 0.000
Bi3 0.500 0.000 0.000
```

Values from the calculation:
ΔE_f ... 0.3622 eV/atom
M_tot ... 0.00 μB/f.u.
Polymorph energy (0 for the lowest one) ... 0.0000 eV per atom
Space-group type ... No. 221


4.
DFT (PBE) results for a relaxed structure of V2CdBi.

```
data_V2CdBi
_cell_length_a 4.872
_cell_length_b 4.872
_cell_length_c 4.872
_cell_angle_alpha 60.00
_cell_angle_beta 60.00
_cell_angle_gamma 60.00
_symmetry_space_group_name_H-M 'P 1'
_symmetry_Int_Tables_number 1
loop_
_symmetry_equiv_pos_as_xyz
'x,y,z'
loop_
_atom_site_label
_atom_site_fract_x
_atom_site_fract_y
_atom_site_fract_z
V1 0.250 0.250 0.250
V2 0.750 0.750 0.750
Cd1 0.000 0.000 0.000
Bi1 0.500 0.500 0.500
```

Values from the calculation:
ΔE_f ... 0.5312 eV/atom
M_tot ... 6.39 μB/f.u.
Polymorph energy (0 for the lowest one) ... 0.0000 eV per atom
Space-group type ... No. 225


5.
DFT (PBE) results for a relaxed structure of VCd3Bi.

```
data_VCd3Bi
_cell_length_a 5.277
_cell_length_b 5.277
_cell_length_c 5.277
_cell_angle_alpha 90.00
_cell_angle_beta 90.00
_cell_angle_gamma 90.00
_symmetry_space_group_name_H-M 'P 1'
_symmetry_Int_Tables_number 1
loop_
_symmetry_equiv_pos_as_xyz
'x,y,z'
loop_
_atom_site_label
_atom_site_fract_x
_atom_site_fract_y
_atom_site_fract_z
V1 0.000 0.000 0.000
Cd1 0.000 0.000 0.500
Cd2 0.000 0.500 0.000
Cd3 0.500 0.000 0.000
Bi1 0.500 0.500 0.500
```

Values from the calculation:
ΔE_f ... 0.7596 eV/atom
M_tot ... 2.79 μB/f.u.
Polymorph energy (0 for the lowest one) ... 0.0000 eV per atom
Space-group type ... No. 221


6.
DFT (PBE) results for a relaxed structure of V2CdBi.

```
data_V2CdBi
_cell_length_a 10.245
_cell_length_b 10.245
_cell_length_c 10.245
_cell_angle_alpha 155.41
_cell_angle_beta 155.41
_cell_angle_gamma 35.06
_symmetry_space_group_name_H-M 'P 1'
_symmetry_Int_Tables_number 1
loop_
_symmetry_equiv_pos_as_xyz
'x,y,z'
loop_
_atom_site_label
_atom_site_fract_x
_atom_site_fract_y
_atom_site_fract_z
V1 0.085 0.625 0.960
V2 0.375 0.335 0.460
V3 0.665 0.125 0.040
V4 0.875 0.915 0.540
Cd1 0.000 0.000 0.000
Cd2 0.750 0.250 0.500
Bi1 0.250 0.750 0.500
Bi2 0.500 0.500 0.000
```

Values from the calculation:
ΔE_f ... 0.8988 eV/atom
M_tot ... 5.73 μB/f.u.
Polymorph energy (0 for the lowest one) ... 0.3676 eV per atom
Space-group type ... No. 122


7.
DFT (PBE) results for a relaxed structure of CdBiW3.

```
data_CdBiW3
_cell_length_a 4.923
_cell_length_b 4.923
_cell_length_c 4.923
_cell_angle_alpha 90.00
_cell_angle_beta 90.00
_cell_angle_gamma 90.00
_symmetry_space_group_name_H-M 'P 1'
_symmetry_Int_Tables_number 1
loop_
_symmetry_equiv_pos_as_xyz
'x,y,z'
loop_
_atom_site_label
_atom_site_fract_x
_atom_site_fract_y
_atom_site_fract_z
Cd1 0.000 0.000 0.000
Bi1 0.500 0.500 0.500
W1 0.000 0.000 0.500
W2 0.000 0.500 0.000
W3 0.500 0.000 0.000
```

Values from the calculation:
ΔE_f ... 2.8078 eV/atom
M_tot ... 0.00 μB/f.u.
Polymorph energy (0 for the lowest one) ... 0.0000 eV per atom
Space-group type ... No. 221


8.
DFT (PBE) results for a relaxed structure of CdBi2W.

```
data_CdBi2W
_cell_length_a 5.147
_cell_length_b 5.147
_cell_length_c 5.147
_cell_angle_alpha 60.00
_cell_angle_beta 60.00
_cell_angle_gamma 60.00
_symmetry_space_group_name_H-M 'P 1'
_symmetry_Int_Tables_number 1
loop_
_symmetry_equiv_pos_as_xyz
'x,y,z'
loop_
_atom_site_label
_atom_site_fract_x
_atom_site_fract_y
_atom_site_fract_z
Cd1 0.000 0.000 0.000
Bi1 0.250 0.250 0.250
Bi2 0.750 0.750 0.750
W1 0.500 0.500 0.500
```

Values from the calculation:
ΔE_f ... 0.9088 eV/atom
M_tot ... 1.48 μB/f.u.
Polymorph energy (0 for the lowest one) ... 0.0000 eV per atom
Space-group type ... No. 225


9.
DFT (PBE) results for a relaxed structure of Cd2BiW2.

```
data_Cd2BiW2
_cell_length_a 8.659
_cell_length_b 8.659
_cell_length_c 2.911
_cell_angle_alpha 90.00
_cell_angle_beta 90.00
_cell_angle_gamma 90.00
_symmetry_space_group_name_H-M 'P 1'
_symmetry_Int_Tables_number 1
loop_
_symmetry_equiv_pos_as_xyz
'x,y,z'
loop_
_atom_site_label
_atom_site_fract_x
_atom_site_fract_y
_atom_site_fract_z
Cd1 0.186 0.314 0.000
Cd2 0.314 0.814 0.000
Cd3 0.686 0.186 0.000
Cd4 0.814 0.686 0.000
Bi1 0.000 0.000 0.000
Bi2 0.500 0.500 0.000
W1 0.102 0.602 0.500
W2 0.398 0.102 0.500
W3 0.602 0.898 0.500
W4 0.898 0.398 0.500
```

Values from the calculation:
ΔE_f ... 0.8817 eV/atom
M_tot ... 0.00 μB/f.u.
Polymorph energy (0 for the lowest one) ... 0.1046 eV per atom
Space-group type ... No. 127


10.
DFT (PBE) results for a relaxed structure of Cd3BiW.

```
data_Cd3BiW
_cell_length_a 5.297
_cell_length_b 5.297
_cell_length_c 5.297
_cell_angle_alpha 90.00
_cell_angle_beta 90.00
_cell_angle_gamma 90.00
_symmetry_space_group_name_H-M 'P 1'
_symmetry_Int_Tables_number 1
loop_
_symmetry_equiv_pos_as_xyz
'x,y,z'
loop_
_atom_site_label
_atom_site_fract_x
_atom_site_fract_y
_atom_site_fract_z
Cd1 0.000 0.000 0.500
Cd2 0.000 0.500 0.000
Cd3 0.500 0.000 0.000
Bi1 0.500 0.500 0.500
W1 0.000 0.000 0.000
```

Values from the calculation:
ΔE_f ... 1.1677 eV/atom
M_tot ... 0.43 μB/f.u.
Polymorph energy (0 for the lowest one) ... 0.0000 eV per atom
Space-group type ... No. 221


11.
DFT (PBE) results for a relaxed structure of CdBi2W.

```
data_CdBi2W
_cell_length_a 8.099
_cell_length_b 8.099
_cell_length_c 8.099
_cell_angle_alpha 131.88
_cell_angle_beta 131.88
_cell_angle_gamma 70.41
_symmetry_space_group_name_H-M 'P 1'
_symmetry_Int_Tables_number 1
loop_
_symmetry_equiv_pos_as_xyz
'x,y,z'
loop_
_atom_site_label
_atom_site_fract_x
_atom_site_fract_y
_atom_site_fract_z
Cd1 0.000 0.000 0.000
Cd2 0.750 0.250 0.500
Bi1 0.159 0.625 0.034
Bi2 0.375 0.409 0.534
Bi3 0.591 0.125 0.966
Bi4 0.875 0.841 0.466
W1 0.250 0.750 0.500
W2 0.500 0.500 0.000
```

Values from the calculation:
ΔE_f ... 1.0036 eV/atom
M_tot ... 1.96 μB/f.u.
Polymorph energy (0 for the lowest one) ... 0.0948 eV per atom
Space-group type ... No. 122